A plane-wave DFT calculation with GGA-PBE was carried out for a relaxed structure of BaAgSeO.

Summary:
As for the final energy: -4.471 eV per atom. For the energy above the lowest structure with this stoichiometry, the calculation gives 58 meV per atom.

Lattice parameters (Å, degrees): 4.116 4.116 10.304 90.00 90.00 90.00
Sites, in units of the cell vectors:
Ba  0.250  0.250  0.646
Ag  0.250  0.750  0.000
Se  0.250  0.250  0.183
Se  0.750  0.750  0.817
O  0.750  0.750  0.601
Ag  0.750  0.250  0.000
O  0.250  0.250  0.399
Ba  0.750  0.750  0.354

---

A plane-wave DFT calculation with GGA-PBE was carried out for a relaxed structure of BaAgSeO.

Summary:
As for the final energy: -4.401 eV per atom. For the energy above the lowest structure with this stoichiometry, the calculation gives 127 meV per atom.

Lattice parameters (Å, degrees): 6.749 4.563 13.221 90.00 90.00 90.00
Sites, in units of the cell vectors:
Ba  0.259  0.750  0.094
Ag  0.351  0.750  0.804
Ba  0.741  0.250  0.906
Ag  0.649  0.250  0.196
Ba  0.241  0.250  0.594
Se  0.243  0.250  0.890
Se  0.257  0.750  0.390
O  0.833  0.250  0.330
O  0.167  0.750  0.670
O  0.667  0.750  0.830
Ba  0.759  0.750  0.406
Ag  0.851  0.750  0.696
Se  0.757  0.750  0.110
Se  0.743  0.250  0.610
O  0.333  0.250  0.170
Ag  0.149  0.250  0.304

---

A plane-wave DFT calculation with GGA-PBE was carried out for a relaxed structure of BaAgSeO.

Summary:
As for the final energy: -3.838 eV per atom. For the energy above the lowest structure with this stoichiometry, the calculation gives 691 meV per atom.

Lattice parameters (Å, degrees): 6.308 6.308 6.547 90.00 90.00 90.00
Sites, in units of the cell vectors:
Ag  0.250  0.250  0.724
Ba  0.750  0.250  0.000
O  0.750  0.750  0.583
Ag  0.750  0.750  0.276
O  0.250  0.250  0.417
Se  0.250  0.250  0.123
Ba  0.250  0.750  0.000
Se  0.750  0.750  0.877

---

A plane-wave DFT calculation with GGA-PBE was carried out for a relaxed structure of BaAgSeO.

Summary:
As for the final energy: -4.529 eV per atom. For the energy above the lowest structure with this stoichiometry, the calculation gives 0 meV per atom.

Lattice parameters (Å, degrees): 7.265 8.139 6.433 90.00 90.00 90.00
Sites, in units of the cell vectors:
Se  0.746  0.476  0.745
O  0.890  0.899  0.569
O  0.390  0.101  0.569
Ba  0.443  0.157  0.960
O  0.110  0.101  0.069
Se  0.254  0.524  0.245
Ag  0.002  0.658  0.476
Ba  0.557  0.843  0.460
Ba  0.943  0.843  0.960
Se  0.754  0.476  0.245
Ba  0.057  0.157  0.460
Ag  0.498  0.658  0.976
Ag  0.502  0.342  0.476
Ag  0.998  0.342  0.976
O  0.610  0.899  0.069
Se  0.246  0.524  0.745

---

A plane-wave DFT calculation with GGA-PBE was carried out for a relaxed structure of BaAgSeO.

Summary:
As for the final energy: -4.433 eV per atom. For the energy above the lowest structure with this stoichiometry, the calculation gives 95 meV per atom.

Lattice parameters (Å, degrees): 7.768 6.736 7.082 90.00 90.00 90.00
Sites, in units of the cell vectors:
Ag  0.102  0.667  0.908
Ba  0.289  0.827  0.408
Se  0.923  0.869  0.149
Se  0.077  0.369  0.351
Ba  0.789  0.673  0.592
Ag  0.398  0.333  0.408
O  0.436  0.086  0.171
O  0.064  0.914  0.671
Se  0.577  0.131  0.649
Ag  0.898  0.167  0.592
Ba  0.211  0.173  0.908
O  0.564  0.586  0.329
Ag  0.602  0.833  0.092
Se  0.423  0.631  0.851
Ba  0.711  0.327  0.092
O  0.936  0.414  0.829

---

A plane-wave DFT calculation with GGA-PBE was carried out for a relaxed structure of BaAgSeO.

Summary:
As for the final energy: -4.447 eV per atom. For the energy above the lowest structure with this stoichiometry, the calculation gives 82 meV per atom.

Lattice parameters (Å, degrees): 3.877 6.226 7.637 90.00 75.30 90.00
Sites, in units of the cell vectors:
Se  0.725  0.750  0.550
O  0.000  0.500  0.000
Se  0.275  0.250  0.450
O  0.000  0.000  0.000
Ag  0.886  0.250  0.228
Ba  0.417  0.750  0.166
Ba  0.583  0.250  0.834
Ag  0.114  0.750  0.772

---

A plane-wave DFT calculation with GGA-PBE was carried out for a relaxed structure of BaAgSeO.

Summary:
As for the final energy: -4.437 eV per atom. For the energy above the lowest structure with this stoichiometry, the calculation gives 92 meV per atom.

Lattice parameters (Å, degrees): 4.374 4.374 9.570 90.00 90.00 90.00
Sites, in units of the cell vectors:
Ba  0.250  0.250  0.148
Se  0.750  0.250  0.500
Ba  0.750  0.750  0.852
O  0.250  0.250  0.892
Ag  0.250  0.250  0.666
Ag  0.750  0.750  0.334
O  0.750  0.750  0.108
Se  0.250  0.750  0.500

---

A plane-wave DFT calculation with GGA-PBE was carried out for a relaxed structure of BaAgSeO.

Summary:
As for the final energy: -4.162 eV per atom. For the energy above the lowest structure with this stoichiometry, the calculation gives 367 meV per atom.

Lattice parameters (Å, degrees): 3.707 6.329 7.905 90.00 76.44 90.00
Sites, in units of the cell vectors:
Ag  0.431  0.750  0.138
O  0.000  0.000  0.000
Ag  0.569  0.250  0.862
O  0.000  0.500  0.000
Ba  0.128  0.750  0.744
Se  0.810  0.750  0.379
Ba  0.872  0.250  0.256
Se  0.190  0.250  0.621

---

A plane-wave DFT calculation with GGA-PBE was carried out for a relaxed structure of BaAgSeO.

Summary:
As for the final energy: -4.434 eV per atom. For the energy above the lowest structure with this stoichiometry, the calculation gives 95 meV per atom.

Lattice parameters (Å, degrees): 9.222 6.112 7.070 90.00 90.00 90.00
Sites, in units of the cell vectors:
Ag  0.000  0.749  0.567
O  0.896  0.998  0.751
Ag  0.000  0.249  0.933
Ag  0.500  0.751  0.433
O  0.604  0.002  0.251
O  0.396  0.502  0.249
Ba  0.251  0.295  0.499
Ba  0.249  0.705  0.999
Se  0.982  0.500  0.250
O  0.104  0.498  0.749
Se  0.518  0.500  0.750
Ba  0.749  0.795  0.001
Ba  0.751  0.205  0.501
Se  0.482  0.000  0.750
Ag  0.500  0.251  0.067
Se  0.018  0.000  0.250

---

A plane-wave DFT calculation with GGA-PBE was carried out for a relaxed structure of BaAgSeO.

Summary:
As for the final energy: -4.503 eV per atom. For the energy above the lowest structure with this stoichiometry, the calculation gives 26 meV per atom.

Lattice parameters (Å, degrees): 4.278 4.277 12.424 90.00 90.00 120.00
Sites, in units of the cell vectors:
Se  0.333  0.667  0.573
Ag  0.000  0.000  0.006
O  0.000  0.000  0.330
Ba  0.667  0.333  0.779
Se  0.667  0.333  0.073
O  0.000  0.000  0.830
Ag  0.000  0.000  0.506
Ba  0.333  0.667  0.279

---

A plane-wave DFT calculation with GGA-PBE was carried out for a relaxed structure of BaAgSeO.

Summary:
As for the final energy: -4.401 eV per atom. For the energy above the lowest structure with this stoichiometry, the calculation gives 127 meV per atom.

Lattice parameters (Å, degrees): 6.968 6.968 6.765 90.00 90.00 38.21
Sites, in units of the cell vectors:
O  0.079  0.079  0.558
Ba  0.655  0.655  0.481
Ag  0.055  0.055  0.874
Ba  0.345  0.345  0.981
Se  0.642  0.642  0.979
O  0.921  0.921  0.058
Se  0.358  0.358  0.479
Ag  0.945  0.945  0.374

---

A plane-wave DFT calculation with GGA-PBE was carried out for a relaxed structure of BaAgSeO.

Summary:
As for the final energy: -4.506 eV per atom. For the energy above the lowest structure with this stoichiometry, the calculation gives 23 meV per atom.

Lattice parameters (Å, degrees): 7.421 13.838 7.462 90.00 90.00 90.00
Sites, in units of the cell vectors:
Se  0.501  0.501  0.240
Ag  0.241  0.554  0.999
Ba  0.522  0.248  0.749
Ba  0.978  0.752  0.249
Se  0.001  0.501  0.260
O  0.728  0.779  0.998
O  0.228  0.779  0.502
O  0.772  0.221  0.498
O  0.772  0.279  0.998
Ag  0.259  0.446  0.499
Ag  0.759  0.446  0.001
Ag  0.241  0.946  0.499
O  0.228  0.721  0.002
O  0.272  0.279  0.502
Se  0.999  0.499  0.740
Se  0.499  0.001  0.260
Se  0.499  0.499  0.760
Se  0.001  0.999  0.760
Ag  0.741  0.554  0.501
Se  0.501  0.999  0.740
Se  0.999  0.001  0.240
Ag  0.759  0.054  0.501
Ba  0.522  0.252  0.249
Ba  0.978  0.748  0.749
O  0.728  0.721  0.498
Ag  0.741  0.946  0.001
Ba  0.022  0.248  0.751
Ba  0.478  0.752  0.251
Ba  0.022  0.252  0.251
Ag  0.259  0.054  0.999
O  0.272  0.221  0.002
Ba  0.478  0.748  0.751

---

A plane-wave DFT calculation with GGA-PBE was carried out for a relaxed structure of BaAgSeO.

Summary:
As for the final energy: -4.297 eV per atom. For the energy above the lowest structure with this stoichiometry, the calculation gives 232 meV per atom.

Lattice parameters (Å, degrees): 6.570 9.458 6.487 90.00 90.00 90.00
Sites, in units of the cell vectors:
O  0.868  0.941  0.678
Ag  0.929  0.921  0.007
Se  0.498  0.649  0.532
Ba  0.001  0.701  0.533
Ag  0.571  0.921  0.507
O  0.368  0.059  0.678
Se  0.002  0.649  0.032
Ag  0.071  0.079  0.507
Ba  0.501  0.299  0.533
Ba  0.499  0.701  0.033
O  0.132  0.059  0.178
Ba  0.999  0.299  0.033
O  0.632  0.941  0.178
Se  0.998  0.351  0.532
Ag  0.429  0.079  0.007
Se  0.502  0.351  0.032

---

A plane-wave DFT calculation with GGA-PBE was carried out for a relaxed structure of BaAgSeO.

Summary:
As for the final energy: -4.280 eV per atom. For the energy above the lowest structure with this stoichiometry, the calculation gives 249 meV per atom.

Lattice parameters (Å, degrees): 4.455 4.455 9.237 90.00 90.00 90.00
Sites, in units of the cell vectors:
Se  0.750  0.750  0.860
Se  0.250  0.250  0.140
Ba  0.250  0.250  0.781
Ag  0.250  0.250  0.431
Ba  0.750  0.750  0.219
O  0.250  0.750  0.500
O  0.750  0.250  0.500
Ag  0.750  0.750  0.569

---

A plane-wave DFT calculation with GGA-PBE was carried out for a relaxed structure of BaAgSeO.

Summary:
As for the final energy: -3.947 eV per atom. For the energy above the lowest structure with this stoichiometry, the calculation gives 581 meV per atom.

Lattice parameters (Å, degrees): 4.383 4.369 11.831 90.00 90.00 120.11
Sites, in units of the cell vectors:
Ag  0.667  0.334  0.739
O  0.999  0.998  0.796
Se  0.666  0.333  0.155
Se  0.334  0.667  0.655
Ba  0.000  0.000  0.497
Ag  0.333  0.666  0.239
O  0.001  0.002  0.296
Ba  0.000  0.000  0.997

---

A plane-wave DFT calculation with GGA-PBE was carried out for a relaxed structure of Ba2ZnAg2Se2O2.

Summary:
As for the final energy: -4.469 eV per atom. For the energy above the lowest structure with this stoichiometry, the calculation gives 0 meV per atom.

Lattice parameters (Å, degrees): 6.102 6.103 10.475 90.00 106.93 90.00
Sites, in units of the cell vectors:
Ag  0.998  0.250  0.500
O  0.218  0.217  0.000
Ag  0.002  0.750  0.500
Ba  0.088  0.500  0.177
Se  0.663  0.500  0.326
Se  0.163  0.000  0.326
Ba  0.588  0.000  0.177
Ag  0.502  0.750  0.500
O  0.718  0.283  0.000
Zn  0.500  0.500  0.000
O  0.282  0.717  0.000
Ba  0.912  0.500  0.823
Se  0.837  0.000  0.674
Se  0.337  0.500  0.674
Zn  0.000  0.000  0.000
O  0.782  0.783  0.000
Ag  0.498  0.250  0.500
Ba  0.412  0.000  0.823

---

A plane-wave DFT calculation with GGA-PBE was carried out for a relaxed structure of Ba2ZnAg2Se2O2.

Summary:
As for the final energy: -4.449 eV per atom. For the energy above the lowest structure with this stoichiometry, the calculation gives 20 meV per atom.

Lattice parameters (Å, degrees): 10.478 4.271 4.271 90.00 101.76 101.76
Sites, in units of the cell vectors:
Ba  0.824  0.912  0.912
Ba  0.176  0.088  0.088
O  0.000  0.500  0.000
Ag  0.500  0.250  0.750
Se  0.675  0.338  0.338
Se  0.325  0.662  0.662
O  0.000  0.000  0.500
Ag  0.500  0.750  0.250
Zn  0.000  0.500  0.500

---

A plane-wave DFT calculation with GGA-PBE was carried out for a relaxed structure of BaSiAg2O4.

Summary:
As for the final energy: -5.905 eV per atom.

Lattice parameters (Å, degrees): 5.413 5.413 5.413 114.96 113.98 99.88
Sites, in units of the cell vectors:
O  0.198  0.526  0.998
Ag  0.721  0.221  0.500
Ba  0.000  0.000  0.000
Ag  0.279  0.779  0.500
O  0.528  0.200  0.002
O  0.802  0.800  0.328
Si  0.500  0.500  0.000
O  0.472  0.474  0.672

---

A plane-wave DFT calculation with GGA-PBE was carried out for a relaxed structure of BaSiAg2O4.

Summary:
As for the final energy: -5.903 eV per atom.

Lattice parameters (Å, degrees): 5.406 5.406 5.406 114.52 114.52 99.78
Sites, in units of the cell vectors:
Ag  0.250  0.750  0.500
O  0.199  0.199  0.670
Ba  0.000  0.000  0.000
Si  0.500  0.500  0.000
O  0.529  0.529  0.330
O  0.471  0.801  0.000
Ag  0.750  0.250  0.500
O  0.801  0.471  0.000

---

A plane-wave DFT calculation with GGA-PBE was carried out for a relaxed structure of BaAg2SnO4.

Summary:
As for the final energy: -5.190 eV per atom.

Lattice parameters (Å, degrees): 5.636 5.636 5.636 115.47 113.49 99.87
Sites, in units of the cell vectors:
O  0.850  0.477  0.000
Ag  0.297  0.797  0.500
Ba  0.000  0.000  0.000
O  0.477  0.850  0.000
O  0.150  0.150  0.627
O  0.523  0.523  0.373
Sn  0.500  0.500  0.000
Ag  0.703  0.203  0.500